Entry 1:
Entry from the Alexandria database: Zn7Ir at its PBEsol-relaxed geometry (meta-GGA SCAN).

Calculated values
- energy (eV per atom) = -20.816
- SG = No. 225
- size of the total moment (μB/f.u.) = 0.0
- D(E_F) (states/eV/atom) = 0.46

```
data_Zn7Ir
_cell_length_a 5.360
_cell_length_b 5.360
_cell_length_c 5.360
_cell_angle_alpha 60.00
_cell_angle_beta 60.00
_cell_angle_gamma 60.00
_space_group_name_H-M_alt 'P 1'
_space_group_IT_number 1
_space_group_name_Hall 'P 1'
loop_
_atom_site_label
_atom_site_type_symbol
_atom_site_fract_x
_atom_site_fract_y
_atom_site_fract_z
Zn1 Zn 0.500 0.500 0.000
Zn2 Zn 0.000 0.500 0.000
Zn3 Zn 0.000 0.500 0.500
Zn4 Zn 0.000 0.000 0.500
Zn5 Zn 0.500 0.000 0.500
Zn6 Zn 0.500 0.000 0.000
Zn7 Zn 0.500 0.500 0.500
Ir1 Ir 0.000 0.000 0.000
```

Entry 2:
Entry from the Alexandria database: Zn3Ir at its PBEsol-relaxed geometry (meta-GGA SCAN).

Calculated values
- energy (eV per atom) = -28.164
- SG = No. 139
- size of the total moment (μB/f.u.) = 0.0
- D(E_F) (states/eV/atom) = 0.32

```
data_Zn3Ir
_cell_length_a 3.669
_cell_length_b 3.669
_cell_length_c 4.763
_cell_angle_alpha 112.65
_cell_angle_beta 112.65
_cell_angle_gamma 90.00
_space_group_name_H-M_alt 'P 1'
_space_group_IT_number 1
_space_group_name_Hall 'P 1'
loop_
_atom_site_label
_atom_site_type_symbol
_atom_site_fract_x
_atom_site_fract_y
_atom_site_fract_z
Zn1 Zn 0.250 0.750 0.500
Zn2 Zn 0.750 0.250 0.500
Zn3 Zn 0.500 0.500 0.000
Ir1 Ir 0.000 0.000 0.000
```

Entry 3:
Entry from the Alexandria database: ZnIr3 at its PBEsol-relaxed geometry (meta-GGA SCAN).

Calculated values
- energy (eV per atom) = -56.748
- SG = No. 65
- size of the total moment (μB/f.u.) = 0.0
- D(E_F) (states/eV/atom) = 0.78

```
data_ZnIr3
_cell_length_a 2.699
_cell_length_b 4.680
_cell_length_c 4.680
_cell_angle_alpha 109.72
_cell_angle_beta 90.00
_cell_angle_gamma 90.00
_space_group_name_H-M_alt 'P 1'
_space_group_IT_number 1
_space_group_name_Hall 'P 1'
loop_
_atom_site_label
_atom_site_type_symbol
_atom_site_fract_x
_atom_site_fract_y
_atom_site_fract_z
Zn1 Zn 0.000 0.500 0.500
Ir1 Ir 0.000 0.000 0.000
Ir2 Ir 0.500 0.000 0.500
Ir3 Ir 0.500 0.500 0.000
```

Entry 4:
Entry from the Alexandria database: ZnIr3 at its PBEsol-relaxed geometry (meta-GGA SCAN).

Calculated values
- energy (eV per atom) = -56.769
- SG = No. 62
- size of the total moment (μB/f.u.) = 0.0
- D(E_F) (states/eV/atom) = 0.85

```
data_ZnIr3
_cell_length_a 4.701
_cell_length_b 5.404
_cell_length_c 8.781
_cell_angle_alpha 90.00
_cell_angle_beta 90.00
_cell_angle_gamma 90.00
_space_group_name_H-M_alt 'P 1'
_space_group_IT_number 1
_space_group_name_Hall 'P 1'
loop_
_atom_site_label
_atom_site_type_symbol
_atom_site_fract_x
_atom_site_fract_y
_atom_site_fract_z
Ir1 Ir 0.582 0.131 0.750
Ir2 Ir 0.244 0.621 0.004
Ir3 Ir 0.244 0.621 0.496
Ir4 Ir 0.256 0.121 0.504
Ir5 Ir 0.256 0.121 0.996
Ir6 Ir 0.918 0.631 0.250
Ir7 Ir 0.082 0.369 0.750
Ir8 Ir 0.744 0.879 0.004
Ir9 Ir 0.744 0.879 0.496
Ir10 Ir 0.756 0.379 0.504
Ir11 Ir 0.756 0.379 0.996
Ir12 Ir 0.418 0.869 0.250
Zn1 Zn 0.423 0.368 0.250
Zn2 Zn 0.077 0.868 0.750
Zn3 Zn 0.923 0.132 0.250
Zn4 Zn 0.577 0.632 0.750
```

Entry 5:
Entry from the Alexandria database: Zn3Ir at its PBEsol-relaxed geometry (meta-GGA SCAN).

Calculated values
- energy (eV per atom) = -28.081
- SG = No. 62
- size of the total moment (μB/f.u.) = 0.0
- D(E_F) (states/eV/atom) = 0.29

```
data_Zn3Ir
_cell_length_a 5.061
_cell_length_b 5.534
_cell_length_c 7.988
_cell_angle_alpha 90.00
_cell_angle_beta 90.00
_cell_angle_gamma 90.00
_space_group_name_H-M_alt 'P 1'
_space_group_IT_number 1
_space_group_name_Hall 'P 1'
loop_
_atom_site_label
_atom_site_type_symbol
_atom_site_fract_x
_atom_site_fract_y
_atom_site_fract_z
Ir1 Ir 0.672 0.075 0.750
Ir2 Ir 0.172 0.425 0.250
Ir3 Ir 0.828 0.575 0.750
Ir4 Ir 0.328 0.925 0.250
Zn1 Zn 0.828 0.059 0.250
Zn2 Zn 0.476 0.236 0.026
Zn3 Zn 0.476 0.236 0.474
Zn4 Zn 0.976 0.264 0.526
Zn5 Zn 0.976 0.264 0.974
Zn6 Zn 0.328 0.441 0.750
Zn7 Zn 0.672 0.559 0.250
Zn8 Zn 0.024 0.736 0.026
Zn9 Zn 0.024 0.736 0.474
Zn10 Zn 0.524 0.764 0.526
Zn11 Zn 0.524 0.764 0.974
Zn12 Zn 0.172 0.941 0.750
```

Entry 6:
Entry from the Alexandria database: ZnIr2 at its PBEsol-relaxed geometry (meta-GGA SCAN).

Calculated values
- energy (eV per atom) = -51.985
- SG = No. 63
- size of the total moment (μB/f.u.) = 0.0
- D(E_F) (states/eV/atom) = 0.83

```
data_ZnIr2
_cell_length_a 2.721
_cell_length_b 4.429
_cell_length_c 7.027
_cell_angle_alpha 90.00
_cell_angle_beta 101.16
_cell_angle_gamma 90.00
_space_group_name_H-M_alt 'P 1'
_space_group_IT_number 1
_space_group_name_Hall 'P 1'
loop_
_atom_site_label
_atom_site_type_symbol
_atom_site_fract_x
_atom_site_fract_y
_atom_site_fract_z
Zn1 Zn 0.723 0.250 0.447
Zn2 Zn 0.277 0.750 0.553
Ir1 Ir 0.388 0.250 0.776
Ir2 Ir 0.612 0.750 0.224
Ir3 Ir 0.943 0.750 0.886
Ir4 Ir 0.057 0.250 0.114
```